Here is a geometry-optimized BaZr2In structure from Alexandria via LeMat-Bulk. Energies are from GGA-PBE.

The structure belongs to space group P2/m (No. 10); the cell edges are 3.328, 5.376 and 6.569 Å and the angles 90.00°, 98.50° and 90.00°. Symmetry generates all atoms from Ba at (0.000, 0.000, 0.000), Zr at (0.312, 0.500, 0.693) and In at (0.500, 0.000, 0.500).

The density of states at the Fermi level is 4.63 states/eV/f.u. The value obtained for the spin magnetization is 0.000 μB per formula unit. As for the energy of formation: 0.259 eV/atom.

Here is a geometry-optimized VGe2Au structure from Alexandria via LeMat-Bulk. Energies are from GGA-PBE.

The structure belongs to space group R3m (No. 160, hexagonal axes); the cell edges are 4.0083, 4.0083 and 15.3652 Å and the angles 90.00°, 90.00° and 120.00°. Symmetry generates all atoms from V at (0.0000, 0.0000, 0.0000), Ge at (0.0000, 0.0000, 0.3940), Ge at (0.0000, 0.0000, 0.5809) and Au at (0.0000, 0.0000, 0.8162).

The density of states at the Fermi level is 4.35 states/eV/f.u. The value obtained for the spin magnetization is 1.026 μB per formula unit. As for the energy of formation: 0.135 eV/atom.

Here is a geometry-optimized BaNa4In structure from Alexandria via LeMat-Bulk. Energies are from GGA-PBE.

The structure belongs to space group F-43m (No. 216); the cell edges are 9.393, 9.393 and 9.393 Å and the angles 90.00°, 90.00° and 90.00°. Symmetry generates all atoms from Ba at (0.000, 0.000, 0.000), Na at (0.123, 0.123, 0.377) and In at (0.250, 0.250, 0.750).

The density of states at the Fermi level is 3.86 states/eV/f.u. The value obtained for the spin magnetization is 0.000 μB per formula unit. As for the energy of formation: -0.024 eV/atom.

Here is a geometry-optimized Na2ZnAg2 structure from Alexandria via LeMat-Bulk. Energies are from GGA-PBE.

The structure belongs to space group P4/mbm (No. 127); the cell edges are 8.799, 8.799 and 2.947 Å and the angles 90.00°, 90.00° and 90.00°. Symmetry generates all atoms from Na at (0.180, 0.320, 0.000), Zn at (0.000, 0.000, 0.000) and Ag at (0.116, 0.616, 0.500).

The density of states at the Fermi level is 1.32 states/eV/f.u. The value obtained for the spin magnetization is 0.000 μB per formula unit. As for the energy of formation: 0.171 eV/atom.

Here is a geometry-optimized YThRuSe structure from Alexandria via LeMat-Bulk. Energies are from GGA-PBE.

The structure belongs to space group R3m (No. 160, hexagonal axes); the cell edges are 4.0330, 4.0330 and 21.7902 Å and the angles 90.00°, 90.00° and 120.00°. Symmetry generates all atoms from Y at (0.0000, 0.0000, 0.0000), Th at (0.0000, 0.0000, 0.1882), Ru at (0.0000, 0.0000, 0.5878) and Se at (0.0000, 0.0000, 0.7554).

The density of states at the Fermi level is 2.67 states/eV/f.u. The value obtained for the spin magnetization is 0.000 μB per formula unit. The calculation puts the uncorrected formation energy at -976 meV/atom.

Here is a geometry-optimized Ca4Pb5 structure from Alexandria via LeMat-Bulk. Energies are from GGA-PBE.

The structure belongs to space group P6_3/mcm (No. 193); the cell edges are 9.6460, 9.6460 and 6.9189 Å and the angles 90.00°, 90.00° and 120.00°. Symmetry generates all atoms from Ca at (0.0000, 0.0000, 0.0000), Ca at (0.0000, 0.3629, 0.2500), Pb at (0.0000, 0.3074, 0.7500) and Pb at (0.3333, 0.6667, 0.0000).

The density of states at the Fermi level is 2.61 states/eV/f.u. The value obtained for the spin magnetization is 0.000 μB per formula unit. As for the energy of formation: -0.404 eV/atom.